# 1
Here is crystalline SrAgBi at its relaxed geometry from the Alexandria database. Energies are from PBE.

Summary:
* calculated density: 4.10 g cm⁻³
* formation energy from the elements: 627 meV per atom

Geometry as CIF:
```
data_SrAgBi
_chemical_formula_sum 'Sr2 Ag2 Bi2'
_cell_length_a 5.3382
_cell_length_b 5.3382
_cell_length_c 13.2685
_cell_angle_alpha 90.00
_cell_angle_beta 90.00
_cell_angle_gamma 120.00
_symmetry_space_group_name_H-M 'P 63/m m c'
_symmetry_Int_Tables_number 194
_symmetry_space_group_name_Hall '-P 6c 2c'
loop_
_atom_site_label
_atom_site_type_symbol
_atom_site_fract_x
_atom_site_fract_y
_atom_site_fract_z
Sr1 Sr 0.0000 0.0000 0.2500
Ag1 Ag 0.3333 0.6667 0.2500
Bi1 Bi 0.0000 0.0000 0.0000
```

***

# 2
Here is crystalline SrTbAgBi at its relaxed geometry from the Alexandria database. Energies are from PBE.

Summary:
* calculated density: 7.93 g cm⁻³
* formation energy from the elements: -431 meV per atom

Geometry as CIF:
```
data_SrTbAgBi
_chemical_formula_sum 'Sr4 Tb4 Ag4 Bi4'
_cell_length_a 7.787
_cell_length_b 7.787
_cell_length_c 7.787
_cell_angle_alpha 90.00
_cell_angle_beta 90.00
_cell_angle_gamma 90.00
_symmetry_space_group_name_H-M 'F -4 3 m'
_symmetry_Int_Tables_number 216
_symmetry_space_group_name_Hall 'F -4 2 3'
loop_
_atom_site_label
_atom_site_type_symbol
_atom_site_fract_x
_atom_site_fract_y
_atom_site_fract_z
Sr1 Sr 0.000 0.000 0.000
Tb1 Tb 0.000 0.000 0.500
Ag1 Ag 0.250 0.250 0.750
Bi1 Bi 0.250 0.250 0.250
```

***

# 3
Here is crystalline SrAgBiTe3 at its relaxed geometry from the Alexandria database. Energies are from PBE.

Summary:
* calculated density: 6.50 g cm⁻³
* formation energy (no corrections): -0.67 eV per atom

Geometry as CIF:
```
data_SrAgBiTe3
_chemical_formula_sum 'Sr2 Ag2 Bi2 Te6'
_cell_length_a 9.192
_cell_length_b 4.508
_cell_length_c 9.909
_cell_angle_alpha 90.00
_cell_angle_beta 101.70
_cell_angle_gamma 90.00
_symmetry_space_group_name_H-M 'P 1 21/m 1'
_symmetry_Int_Tables_number 11
loop_
_symmetry_equiv_pos_as_xyz
'x,y,z'
'-x,-y,-z'
'-x,y+1/2,-z'
'x,-y+1/2,z'
loop_
_atom_site_label
_atom_site_type_symbol
_atom_site_fract_x
_atom_site_fract_y
_atom_site_fract_z
Sr1 Sr 0.175 0.250 0.253
Ag1 Ag 0.075 0.250 0.581
Bi1 Bi 0.332 0.750 0.845
Te1 Te 0.103 0.250 0.882
Te2 Te 0.248 0.750 0.513
Te3 Te 0.426 0.750 0.163
```

***

# 4
Here is crystalline SrAg2BiTe at its relaxed geometry from the Alexandria database. Energies are from PBE.

Summary:
* calculated density: 5.68 g cm⁻³
* formation energy (no corrections): -0.05 eV per atom

Geometry as CIF:
```
data_SrAg2BiTe
_chemical_formula_sum 'Sr1 Ag2 Bi1 Te1'
_cell_length_a 5.295
_cell_length_b 5.295
_cell_length_c 6.675
_cell_angle_alpha 90.00
_cell_angle_beta 90.00
_cell_angle_gamma 90.00
_symmetry_space_group_name_H-M 'P 4/m m m'
_symmetry_Int_Tables_number 123
_symmetry_space_group_name_Hall '-P 4 2'
loop_
_atom_site_label
_atom_site_type_symbol
_atom_site_fract_x
_atom_site_fract_y
_atom_site_fract_z
Sr1 Sr 0.000 0.000 0.000
Ag1 Ag 0.000 0.500 0.500
Bi1 Bi 0.000 0.000 0.500
Te1 Te 0.500 0.500 0.000
```

***

# 5
Here is crystalline Sr3Tm2Ag2Bi4 at its relaxed geometry from the Alexandria database. Energies are from PBE.

Summary:
* calculated density: 7.52 g cm⁻³
* formation energy from the elements: -579 meV per atom

Geometry as CIF:
```
data_Sr3Tm2Ag2Bi4
_chemical_formula_sum 'Sr3 Tm2 Ag2 Bi4'
_cell_length_a 4.9414
_cell_length_b 4.9414
_cell_length_c 17.2609
_cell_angle_alpha 90.00
_cell_angle_beta 90.00
_cell_angle_gamma 120.00
_symmetry_space_group_name_H-M 'P -3 m 1'
_symmetry_Int_Tables_number 164
_symmetry_space_group_name_Hall '-P 3 2"'
loop_
_atom_site_label
_atom_site_type_symbol
_atom_site_fract_x
_atom_site_fract_y
_atom_site_fract_z
Sr1 Sr 0.0000 0.0000 0.0000
Sr2 Sr 0.0000 0.0000 0.2504
Tm1 Tm 0.3333 0.6667 0.5620
Ag1 Ag 0.3333 0.6667 0.1263
Bi1 Bi 0.3333 0.6667 0.3699
Bi2 Bi 0.3333 0.6667 0.8731
```

***

# 6
Here is crystalline SrZr2AgBi at its relaxed geometry from the Alexandria database. Energies are from PBE.

Summary:
* calculated density: 5.74 g cm⁻³
* formation energy from the elements: 672 meV per atom

Geometry as CIF:
```
data_SrZr2AgBi
_chemical_formula_sum 'Sr1 Zr2 Ag1 Bi1'
_cell_length_a 5.584
_cell_length_b 5.584
_cell_length_c 5.442
_cell_angle_alpha 90.00
_cell_angle_beta 90.00
_cell_angle_gamma 90.00
_symmetry_space_group_name_H-M 'P 4/m m m'
_symmetry_Int_Tables_number 123
_symmetry_space_group_name_Hall '-P 4 2'
loop_
_atom_site_label
_atom_site_type_symbol
_atom_site_fract_x
_atom_site_fract_y
_atom_site_fract_z
Sr1 Sr 0.000 0.000 0.000
Zr1 Zr 0.000 0.500 0.500
Ag1 Ag 0.500 0.500 0.000
Bi1 Bi 0.500 0.500 0.500
```

***

# 7
Here is crystalline Tb5Ag2Bi at its relaxed geometry from the Alexandria database. Energies are from PBE.

Summary:
* calculated density: 9.08 g cm⁻³
* formation energy from the elements: -367 meV per atom

Geometry as CIF:
```
data_Tb5Ag2Bi
_chemical_formula_sum 'Tb20 Ag8 Bi4'
_cell_length_a 8.217
_cell_length_b 8.217
_cell_length_c 13.216
_cell_angle_alpha 90.00
_cell_angle_beta 90.00
_cell_angle_gamma 90.00
_symmetry_space_group_name_H-M 'I 4/m c m'
_symmetry_Int_Tables_number 140
_symmetry_space_group_name_Hall '-I 4 2c'
loop_
_atom_site_label
_atom_site_type_symbol
_atom_site_fract_x
_atom_site_fract_y
_atom_site_fract_z
Tb1 Tb 0.000 0.000 0.000
Tb2 Tb 0.153 0.347 0.146
Ag1 Ag 0.135 0.365 0.500
Bi1 Bi 0.000 0.000 0.250
```

***

# 8
Here is crystalline TbAgBi at its relaxed geometry from the Alexandria database. Energies are from PBE.

Summary:
* calculated density: 9.27 g cm⁻³
* formation energy from the elements: -448 meV per atom

Geometry as CIF:
```
data_TbAgBi
_chemical_formula_sum 'Tb2 Ag2 Bi2'
_cell_length_a 4.708
_cell_length_b 5.918
_cell_length_c 6.769
_cell_angle_alpha 80.64
_cell_angle_beta 89.78
_cell_angle_gamma 66.59
_symmetry_space_group_name_H-M 'P -1'
_symmetry_Int_Tables_number 2
loop_
_symmetry_equiv_pos_as_xyz
'x,y,z'
'-x,-y,-z'
loop_
_atom_site_label
_atom_site_type_symbol
_atom_site_fract_x
_atom_site_fract_y
_atom_site_fract_z
Tb1 Tb 0.115 0.267 0.230
Ag1 Ag 0.395 0.709 0.084
Bi1 Bi 0.175 0.154 0.709
```

***

# 9
Here is crystalline Tb4AgBi at its relaxed geometry from the Alexandria database. Energies are from PBE.

Summary:
* calculated density: 8.95 g cm⁻³
* energy above the most stable polymorph in this dataset: 0 meV per atom
* formation energy from the elements: -342 meV per atom

Geometry as CIF:
```
data_Tb4AgBi
_chemical_formula_sum 'Tb64 Ag16 Bi16'
_cell_length_a 14.141
_cell_length_b 14.141
_cell_length_c 14.141
_cell_angle_alpha 90.00
_cell_angle_beta 90.00
_cell_angle_gamma 90.00
_symmetry_space_group_name_H-M 'F -4 3 m'
_symmetry_Int_Tables_number 216
_symmetry_space_group_name_Hall 'F -4 2 3'
loop_
_atom_site_label
_atom_site_type_symbol
_atom_site_fract_x
_atom_site_fract_y
_atom_site_fract_z
Tb1 Tb 0.000 0.000 0.185
Tb2 Tb 0.063 0.250 0.750
Tb3 Tb 0.136 0.136 0.364
Ag1 Ag 0.151 0.151 0.151
Bi1 Bi 0.095 0.095 0.595
```

***

# 10
Here is crystalline Tb6AgBi2 at its relaxed geometry from the Alexandria database. Energies are from PBE.

Summary:
* calculated density: 8.99 g cm⁻³
* formation energy from the elements: -369 meV per atom

Geometry as CIF:
```
data_Tb6AgBi2
_chemical_formula_sum 'Tb12 Ag2 Bi4'
_cell_length_a 6.481
_cell_length_b 8.153
_cell_length_c 12.175
_cell_angle_alpha 90.00
_cell_angle_beta 121.89
_cell_angle_gamma 90.00
_symmetry_space_group_name_H-M 'P 1 21/c 1'
_symmetry_Int_Tables_number 14
loop_
_symmetry_equiv_pos_as_xyz
'x,y,z'
'-x,-y,-z'
'-x,y+1/2,-z+1/2'
'x,-y+1/2,z+1/2'
loop_
_atom_site_label
_atom_site_type_symbol
_atom_site_fract_x
_atom_site_fract_y
_atom_site_fract_z
Tb1 Tb 0.086 0.035 0.236
Tb2 Tb 0.163 0.706 0.045
Tb3 Tb 0.406 0.161 0.041
Ag1 Ag 0.500 0.000 0.500
Bi1 Bi 0.347 0.115 0.740
```

***

# 11
Here is crystalline Tb6AgBi3 at its relaxed geometry from the Alexandria database. Energies are from PBE.

Summary:
* calculated density: 8.79 g cm⁻³
* formation energy from the elements: -395 meV per atom

Geometry as CIF:
```
data_Tb6AgBi3
_chemical_formula_sum 'Tb24 Ag4 Bi12'
_cell_length_a 11.304
_cell_length_b 15.569
_cell_length_c 7.250
_cell_angle_alpha 90.00
_cell_angle_beta 90.00
_cell_angle_gamma 90.00
_symmetry_space_group_name_H-M 'C m c 21'
_symmetry_Int_Tables_number 36
loop_
_symmetry_equiv_pos_as_xyz
'x,y,z'
'-x,-y,z+1/2'
'-x,y,z'
'x,-y,z+1/2'
'x+1/2,y+1/2,z'
'-x+1/2,-y+1/2,z+1/2'
'-x+1/2,y+1/2,z'
'x+1/2,-y+1/2,z+1/2'
loop_
_atom_site_label
_atom_site_type_symbol
_atom_site_fract_x
_atom_site_fract_y
_atom_site_fract_z
Tb1 Tb 0.000 0.021 0.000
Tb2 Tb 0.000 0.257 0.104
Tb3 Tb 0.183 0.274 0.545
Tb4 Tb 0.191 0.443 0.166
Ag1 Ag 0.000 0.160 0.728
Bi1 Bi 0.000 0.426 0.478
Bi2 Bi 0.174 0.105 0.298
```

***

# 12
Here is crystalline TbAgBi2 at its relaxed geometry from the Alexandria database. Energies are from PBE.

Summary:
* calculated density: 10.30 g cm⁻³
* formation energy from the elements: -195 meV per atom

Geometry as CIF:
```
data_TbAgBi2
_chemical_formula_sum 'Tb3 Ag3 Bi6'
_cell_length_a 5.1865
_cell_length_b 5.1865
_cell_length_c 14.2156
_cell_angle_alpha 90.00
_cell_angle_beta 90.00
_cell_angle_gamma 120.00
_symmetry_space_group_name_H-M 'R -3 m'
_symmetry_Int_Tables_number 166
_symmetry_space_group_name_Hall '-R 3 2"'
loop_
_atom_site_label
_atom_site_type_symbol
_atom_site_fract_x
_atom_site_fract_y
_atom_site_fract_z
Tb1 Tb 0.0000 0.0000 0.0000
Ag1 Ag 0.0000 0.0000 0.5000
Bi1 Bi 0.0000 0.0000 0.2400
```